NdDy4Tm (PBE, optimized geometry); SG = F-43m, No. 216; DFT total energy = -4.34 eV per atom; ΔE_f = 0.270 eV/atom; crystal system = cubic
1.0
6.571 0.000 0.000
3.285 5.690 0.000
3.285 1.897 5.365
Nd Dy Tm
1 4 1
Direct
0.250 0.250 0.250
0.625 0.124 0.625
0.124 0.625 0.625
0.625 0.625 0.124
0.625 0.625 0.625
0.000 0.000 0.000